# SmErSc, relaxed, DFT PBE-GGA
# Excess energy over the best structure of this formula in the dataset: 0.24 eV/f.u.
data_SmErSc
_symmetry_space_group_name_H-M 'C m c m'
_symmetry_Int_Tables_number 63
_symmetry_space_group_name_Hall '-C 2c 2'
_cell_length_a 3.410
_cell_length_b 20.212
_cell_length_c 5.132
_cell_angle_alpha 90.00
_cell_angle_beta 90.00
_cell_angle_gamma 90.00
loop_
_atom_site_label
_atom_site_type_symbol
_atom_site_fract_x
_atom_site_fract_y
_atom_site_fract_z
Sm1 Sm 0.000 0.047 0.250
Er1 Er 0.000 0.372 0.250
Sc1 Sc 0.000 0.210 0.250